# TlCdPAu2 (PBE-GGA, relaxed)
data_TlCdPAu2
_cell_length_a 5.1924
_cell_length_b 5.1924
_cell_length_c 5.7657
_cell_angle_alpha 90.00
_cell_angle_beta 90.00
_cell_angle_gamma 90.00
_space_group_name_H-M_alt 'P 4/m m m'
_space_group_IT_number 123
_space_group_name_Hall '-P 4 2'
loop_
_atom_site_label
_atom_site_type_symbol
_atom_site_fract_x
_atom_site_fract_y
_atom_site_fract_z
Tl1 Tl 0.0000 0.0000 0.0000
Cd1 Cd 0.0000 0.0000 0.5000
P1 P 0.5000 0.5000 0.0000
Au1 Au 0.0000 0.5000 0.5000
# Final energy, eV per cell: -10.611
# DFT formation energy, eV per atom: 0.9271